(1)
{
  "formula": "PrSm3Tc",
  "functional": "PBE",
  "state": "relaxed",
  "cell": [[-1.8656, 2.0441, -2.9063], [-6.4000, -0.2537, 1.1590], [-1.2902, 10.9344, 5.7480]],
  "species": ["Pr", "Pr", "Sm", "Sm", "Sm", "Sm", "Sm", "Sm", "Tc", "Tc"],
  "frac_coords": [[0.1158, 0.4791, 0.2893], [0.2251, 0.5427, 0.0071], [0.4495, 0.9521, 0.1490], [0.7613, 0.7193, 0.7581], [0.0972, 0.1829, 0.6227], [0.9824, 0.1354, 0.8997], [0.7880, 0.0363, 0.3877], [0.4269, 0.6224, 0.5238], [0.7897, 0.2740, 0.1466], [0.4248, 0.3927, 0.7577]],
  "spacegroup": "Cm (8)",
  "formation_energy_mev_per_atom": 26,
  "relative_energy_ev_per_fu": 0.00,
  "m_tot_mub_per_fu": 0.0
}



(2)
{
  "formula": "TaGaS2F",
  "functional": "PBE",
  "state": "relaxed",
  "cell": [[5.1696, 0.0000, 0.0000], [0.0000, 3.7673, 0.0000], [0.0000, 0.0000, 5.1696]],
  "species": ["S", "S", "F", "Ga", "Ta"],
  "frac_coords": [[0.0000, 0.0000, 0.5000], [0.5000, 0.0000, 0.0000], [0.0000, 0.0000, 0.0000], [0.5000, 0.5000, 0.5000], [0.0000, 0.5000, 0.0000]],
  "spacegroup": "P4/mmm (123)",
  "e_form_raw_kcal_per_mol_atoms": 3.3,
  "m_tot_mub_per_fu": 1.2
}



(3)
{
  "formula": "LaBeRh",
  "functional": "PBE",
  "state": "relaxed",
  "cell": [[-2.3680, 2.9021, 2.8101], [-0.1471, -0.8065, 4.6102], [2.3118, 2.8133, 2.9440]],
  "species": ["Be", "Rh", "La"],
  "frac_coords": [[0.5000, 0.5000, 0.5000], [0.0000, 0.0000, 0.0000], [0.7500, 0.7500, 0.7500]],
  "spacegroup": "F-43m (216)",
  "formation_energy_mev_per_atom": 626,
  "relative_energy_ev_per_fu": 3.45,
  "m_tot_mub_per_fu": 0.0
}



(4)
{
  "formula": "Ce3SnO2",
  "functional": "PBE",
  "state": "relaxed",
  "cell": [[4.4771, 0.0000, -1.5699], [-0.5505, 4.4431, -1.5699], [-0.1514, -0.1713, 6.7370]],
  "species": ["Ce", "Ce", "Ce", "Sn", "O", "O"],
  "frac_coords": [[0.7500, 0.2500, 0.5000], [0.5000, 0.5000, 0.0000], [0.2500, 0.7500, 0.5000], [0.0000, 0.0000, 0.0000], [0.7020, 0.7020, 0.4040], [0.2980, 0.2980, 0.5960]],
  "spacegroup": "I4/mmm (139)",
  "e_form_raw_kcal_per_mol_atoms": -47.6,
  "m_tot_mub_per_fu": 3.4
}



(5)
{
  "formula": "Li2LaBe",
  "functional": "PBE",
  "state": "relaxed",
  "cell": [[-0.2108, -0.7307, -3.1878], [-3.1498, -0.8149, 0.3932], [-1.9849, 6.9652, -1.4653]],
  "species": ["Be", "La", "Li", "Li"],
  "frac_coords": [[0.5000, 0.5000, 0.2500], [0.5000, 0.5000, 0.7500], [0.0000, 0.0000, 0.0821], [0.0000, 0.0000, 0.4179]],
  "spacegroup": "P4/mmm (123)",
  "formation_energy_mev_per_atom": 341,
  "m_tot_mub_per_fu": 0.0
}



(6)
{
  "formula": "PrMg4Cd2",
  "functional": "PBE",
  "state": "relaxed",
  "cell": [[5.1324, -0.0082, 2.7330], [2.3628, 5.3424, 1.7239], [0.0340, -0.3656, 6.0803]],
  "species": ["Pr", "Mg", "Mg", "Mg", "Mg", "Cd", "Cd"],
  "frac_coords": [[0.0000, 0.0000, 0.0000], [0.6944, 0.6100, 0.0010], [0.3056, 0.3900, 0.9990], [0.6945, 0.0010, 0.6099], [0.3055, 0.9990, 0.3901], [0.7520, 0.4987, 0.4987], [0.2480, 0.5013, 0.5013]],
  "spacegroup": "C2/m (12)",
  "formation_energy_mev_per_atom": -102,
  "relative_energy_ev_per_fu": 0.36,
  "m_tot_mub_per_fu": 0.0
}



(7)
{
  "formula": "AlZnBr",
  "functional": "PBE",
  "state": "relaxed",
  "cell": [[3.5971, 0.0000, 0.0000], [-1.7985, 3.0733, 0.0000], [0.0000, 0.0000, 13.4344]],
  "species": ["Zn", "Zn", "Al", "Al", "Br", "Br"],
  "frac_coords": [[0.5456, 0.0912, 0.0000], [0.3425, 0.6850, 0.5000], [0.6796, 0.3591, 0.3776], [0.6796, 0.3591, 0.6224], [0.2097, 0.4194, 0.8750], [0.2097, 0.4194, 0.1250]],
  "spacegroup": "Amm2 (38)",
  "e_form_raw_kcal_per_mol_atoms": 1.2,
  "relative_energy_ev_per_fu": 0.18,
  "m_tot_mub_per_fu": 0.0
}



(8)
{
  "formula": "Ho2Pu2S7",
  "functional": "PBE",
  "state": "relaxed",
  "cell": [[3.8916, 0.0000, 0.0000], [1.9458, 8.1643, -0.0924], [1.9458, 3.7897, 7.2321]],
  "species": ["Ho", "Ho", "Pu", "Pu", "S", "S", "S", "S", "S", "S", "S"],
  "frac_coords": [[0.0000, 0.7870, 0.2130], [0.5000, 0.3283, 0.6717], [0.7428, 0.8452, 0.6692], [0.2572, 0.3308, 0.1548], [0.8154, 0.0772, 0.2920], [0.8613, 0.4167, 0.8606], [0.5000, 0.0087, 0.9913], [0.6101, 0.4962, 0.2836], [0.3899, 0.7164, 0.5038], [0.1846, 0.7080, 0.9228], [0.1387, 0.1394, 0.5833]],
  "spacegroup": "Imm2 (44)",
  "e_form_raw_kcal_per_mol_atoms": -38.0,
  "m_tot_mub_per_fu": 8.0
}



(9)
{
  "formula": "K3Dy3TmSe8",
  "functional": "PBE",
  "state": "relaxed",
  "cell": [[8.2769, 0.0005, 0.0001], [-4.1381, 7.1732, -0.0301], [-0.0002, -4.7531, 7.8824]],
  "species": ["K", "K", "K", "Dy", "Dy", "Dy", "Tm", "Se", "Se", "Se", "Se", "Se", "Se", "Se", "Se"],
  "frac_coords": [[0.0000, 0.0000, 0.0000], [0.0000, 0.5000, 0.0000], [0.5000, 0.5000, 0.0000], [0.5000, 0.0000, 0.5000], [0.5000, 0.5000, 0.5000], [0.0000, 0.5000, 0.5000], [0.0000, 0.0000, 0.5000], [0.2649, 0.5297, 0.2946], [0.7351, 0.4703, 0.7054], [0.7675, 0.5350, 0.2988], [0.2325, 0.4650, 0.7012], [0.7675, 0.0312, 0.2988], [0.2325, 0.9688, 0.7012], [0.2637, 0.0312, 0.2988], [0.7363, 0.9688, 0.7012]],
  "spacegroup": "R-3m (166)",
  "e_form_raw_kcal_per_mol_atoms": -38.7,
  "m_tot_mub_per_fu": 0.0
}



(10)
{
  "formula": "K2BiSb4Au3",
  "functional": "PBE",
  "state": "relaxed",
  "cell": [[5.0179, 0.0000, 0.0000], [0.0000, 5.0179, 0.0000], [0.0000, 0.0000, 11.6461]],
  "species": ["K", "K", "Bi", "Sb", "Sb", "Sb", "Sb", "Au", "Au", "Au"],
  "frac_coords": [[0.5000, 0.0000, 0.2444], [0.0000, 0.5000, 0.7556], [0.5000, 0.5000, 0.5000], [0.5000, 0.5000, 0.0000], [0.0000, 0.0000, 0.0000], [0.5000, 0.0000, 0.6463], [0.0000, 0.5000, 0.3537], [0.0000, 0.0000, 0.5000], [0.5000, 0.0000, 0.8848], [0.0000, 0.5000, 0.1152]],
  "spacegroup": "P-4m2 (115)",
  "e_form_raw_kcal_per_mol_atoms": -5.1,
  "m_tot_mub_per_fu": 0.0
}



(11)
{
  "formula": "LaMg5Hg6",
  "functional": "PBE",
  "state": "relaxed",
  "cell": [[4.7391, -0.0070, -1.3303], [-3.5805, 7.2065, -3.6675], [-0.0952, -0.9537, 8.7912]],
  "species": ["Mg", "Mg", "Mg", "Mg", "Mg", "Hg", "Hg", "Hg", "Hg", "Hg", "Hg", "La"],
  "frac_coords": [[0.5000, 0.1673, 0.8327], [0.0000, 0.3286, 0.6714], [0.5000, 0.5000, 0.5000], [0.0000, 0.6714, 0.3286], [0.5000, 0.8327, 0.1673], [0.2628, 0.0893, 0.4331], [0.7372, 0.5669, 0.9107], [0.7782, 0.2775, 0.2775], [0.2218, 0.7225, 0.7225], [0.2628, 0.4331, 0.0893], [0.7372, 0.9107, 0.5669], [0.0000, 0.0000, 0.0000]],
  "spacegroup": "C2/m (12)",
  "formation_energy_mev_per_atom": -277,
  "m_tot_mub_per_fu": 0.0
}



(12)
{
  "formula": "AcCeZnAu",
  "functional": "PBE",
  "state": "relaxed",
  "cell": [[5.3797, 0.0000, 0.0000], [2.6898, 4.6589, 0.0000], [2.6898, 1.5530, 4.3925]],
  "species": ["Ac", "Au", "Zn", "Ce"],
  "frac_coords": [[0.2500, 0.2500, 0.2500], [0.5000, 0.5000, 0.5000], [0.0000, 0.0000, 0.0000], [0.7500, 0.7500, 0.7500]],
  "spacegroup": "F-43m (216)",
  "formation_energy_mev_per_atom": -391,
  "m_tot_mub_per_fu": 1.1
}